Entry from Alexandria: NaInH8Rh2 after structural relaxation (GGA-PBE).

Geometry as POSCAR:
```
NaInH8Rh2
1.0
4.9578 0.0000 0.0000
2.4789 4.2936 0.0000
2.4789 1.4312 5.7843
H Rh In Na
8 2 1 1
Cartesian
3.9324 2.2691 0.9324 H
2.4789 1.4312 2.1535 H
4.9589 1.6777 4.8519 H
5.9833 3.4556 4.8519 H
4.9568 4.0471 0.9324 H
7.4368 4.2936 3.6308 H
3.9313 3.4538 4.8519 H
5.9844 2.2709 0.9324 H
2.4789 1.4312 0.4803 Rh
7.4367 4.2936 5.3040 Rh
0.0000 0.0000 0.0000 In
4.9578 2.8624 2.8921 Na
```

Calculated values
- Total moment: 0.000 μB/f.u.
- V: 10.261 A^3/atom
- Density: 4.74 g/cm3
- Fermi-level density of states: 1.42 states/eV/cell
- Raw total energy: -3.8095 eV/atom


Entry from Alexandria: NaSc2InH after structural relaxation (GGA-PBE).

Geometry as POSCAR:
```
NaSc2InH
1.0
4.5657 0.0000 0.0000
0.0000 4.5657 0.0000
0.0000 0.0000 4.4865
Sc H In Na
2 1 1 1
Cartesian
0.0000 2.2829 0.0000 Sc
2.2829 0.0000 0.0000 Sc
0.0000 0.0000 0.0000 H
2.2829 2.2829 2.2432 In
0.0000 0.0000 2.2432 Na
```

Calculated values
- Total moment: 1.100 μB/f.u.
- V: 18.705 A^3/atom
- Density: 4.06 g/cm3
- Fermi-level density of states: 3.15 states/eV/cell
- Raw total energy: -4.2100 eV/atom


Entry from Alexandria: NaInSn2H after structural relaxation (GGA-PBE).

Geometry as POSCAR:
```
NaInSn2H
1.0
-4.6597 1.2459 0.5753
-1.3667 -4.0298 -2.3429
-0.1177 -2.2945 4.0153
Na H Sn In
1 1 2 1
Cartesian
-0.0589 -1.1473 2.0077 Na
0.0000 0.0000 0.0000 H
-2.3299 0.6230 0.2877 Sn
-0.6834 -2.0149 -1.1714 Sn
-3.0721 -2.5392 1.1239 In
```

Calculated values
- Total moment: 0.000 μB/f.u.
- V: 21.832 A^3/atom
- Density: 5.72 g/cm3
- Fermi-level density of states: 1.97 states/eV/cell
- Raw total energy: -3.0113 eV/atom


Entry from Alexandria: NaIn2SnH after structural relaxation (GGA-PBE).

Geometry as POSCAR:
```
NaIn2SnH
1.0
5.9202 0.0000 0.0000
0.0000 3.6599 0.0000
0.0000 0.0000 5.9202
In Na Sn H
2 1 1 1
Cartesian
2.9601 0.0000 0.0000 In
0.0000 0.0000 2.9601 In
0.0000 0.0000 0.0000 Na
2.9601 1.8299 2.9601 Sn
0.0000 1.8299 0.0000 H
```

Calculated values
- Total moment: 0.000 μB/f.u.
- V: 25.655 A^3/atom
- Density: 4.82 g/cm3
- Fermi-level density of states: 2.23 states/eV/cell
- Raw total energy: -2.4473 eV/atom


Entry from Alexandria: NaIn2SnH after structural relaxation (GGA-PBE).

Geometry as POSCAR:
```
NaIn2SnH
1.0
-4.2190 0.4742 -2.3159
2.1352 -1.2692 -4.1495
-0.9663 -4.4213 0.8551
In H Sn Na
2 1 1 1
Cartesian
1.0676 -0.6346 -2.0748 In
-2.1095 0.2371 -1.1580 In
0.0000 0.0000 0.0000 H
-1.5251 -2.6081 -2.8052 Sn
-0.4832 -2.2107 0.4275 Na
```

Calculated values
- Total moment: 0.000 μB/f.u.
- V: 21.544 A^3/atom
- Density: 5.74 g/cm3
- Fermi-level density of states: 0.97 states/eV/cell
- Raw total energy: -2.8047 eV/atom


Entry from Alexandria: Na2SrInH after structural relaxation (GGA-PBE).

Geometry as POSCAR:
```
Na2SrInH
1.0
-3.4302 4.0888 3.4020
-2.3066 0.7149 -3.1849
-3.8667 -4.6966 1.7461
Na Sr In H
2 1 1 1
Cartesian
-1.9333 -2.3483 0.8731 Na
-1.7151 2.0444 1.7010 Na
-4.8017 0.0536 0.9816 Sr
0.0000 0.0000 0.0000 In
-1.1533 0.3574 -1.5925 H
```

Calculated values
- Total moment: 0.000 μB/f.u.
- V: 32.022 A^3/atom
- Density: 2.59 g/cm3
- Fermi-level density of states: 2.27 states/eV/cell
- Raw total energy: -1.8252 eV/atom